# Mg2TlRh2

Crystalline Mg2TlRh2 at its relaxed geometry (PBE, Alexandria).

Geometry as POSCAR:
```
Mg2TlRh2
1.0
-4.1174 -2.1179 5.6509
1.6096 -6.9785 -1.4426
2.6482 0.1967 2.0033
Tl Rh Mg
2 4 4
Direct
0.0000 0.0000 0.0000
0.5000 0.5000 0.0000
0.3520 0.8520 0.0000
0.8520 0.6480 0.0000
0.6480 0.1480 0.0000
0.1480 0.3520 0.0000
0.1467 0.6467 0.5000
0.6467 0.8533 0.5000
0.8533 0.3533 0.5000
0.3533 0.1467 0.5000
```

formation energy = -299 meV per atom
crystal system = tetragonal
relative energy among the computed polymorphs = 0 meV/atom
theoretical density = 8.58 g/cm³
space-group type = No. 127
V = 177.53 Å³/cell